1.
Compound: AgSb2SeI
Source: the Alexandria database
Functional: PBE
Structure: relaxed

CIF file:
```
data_AgSb2SeI
_chemical_formula_sum 'Ag1 Sb2 Se1 I1'
_symmetry_space_group_name_H-M 'P 4/m m m'
_symmetry_Int_Tables_number 123
_symmetry_space_group_name_Hall '-P 4 2'
_cell_length_a 5.476
_cell_length_b 5.476
_cell_length_c 5.324
_cell_angle_alpha 90.00
_cell_angle_beta 90.00
_cell_angle_gamma 90.00
loop_
_atom_site_label
_atom_site_type_symbol
_atom_site_fract_x
_atom_site_fract_y
_atom_site_fract_z
_atom_site_occupancy
Ag1 Ag 0.000 0.000 0.000 1
Sb1 Sb 0.000 0.500 0.000 1
Se1 Se 0.500 0.500 0.500 1
I1 I 0.000 0.000 0.500 1
```

Calculated values
- energy (eV/atom) = -2.5360
- energy relative to the lowest polymorph listed for this composition (eV/atom) = 0.000
- DOS at the Fermi energy (states/eV per atom) = 0.754
- formation energy without anion corrections (eV/f.u.) = 3.5

---

2.
Compound: SiAgSb2I
Source: the Alexandria database
Functional: PBE
Structure: relaxed

CIF file:
```
data_SiAgSb2I
_chemical_formula_sum 'Si1 Ag1 Sb2 I1'
_symmetry_space_group_name_H-M 'P 4/m m m'
_symmetry_Int_Tables_number 123
_symmetry_space_group_name_Hall '-P 4 2'
_cell_length_a 5.342
_cell_length_b 5.342
_cell_length_c 5.611
_cell_angle_alpha 90.00
_cell_angle_beta 90.00
_cell_angle_gamma 90.00
loop_
_atom_site_label
_atom_site_type_symbol
_atom_site_fract_x
_atom_site_fract_y
_atom_site_fract_z
_atom_site_occupancy
Si1 Si 0.000 0.000 0.000 1
Ag1 Ag 0.500 0.500 0.500 1
Sb1 Sb 0.000 0.500 0.500 1
I1 I 0.500 0.500 0.000 1
```

Calculated values
- energy (eV/atom) = -2.6441
- energy relative to the lowest polymorph listed for this composition (eV/atom) = 0.270
- DOS at the Fermi energy (states/eV per atom) = 1.153
- formation energy without anion corrections (eV/f.u.) = 4.8

---

3.
Compound: SiAgSb2I
Source: the Alexandria database
Functional: PBE
Structure: relaxed

CIF file:
```
data_SiAgSb2I
_chemical_formula_sum 'Si1 Ag1 Sb2 I1'
_symmetry_space_group_name_H-M 'P 4/m m m'
_symmetry_Int_Tables_number 123
_symmetry_space_group_name_Hall '-P 4 2'
_cell_length_a 5.274
_cell_length_b 5.274
_cell_length_c 5.524
_cell_angle_alpha 90.00
_cell_angle_beta 90.00
_cell_angle_gamma 90.00
loop_
_atom_site_label
_atom_site_type_symbol
_atom_site_fract_x
_atom_site_fract_y
_atom_site_fract_z
_atom_site_occupancy
Si1 Si 0.000 0.000 0.000 1
Ag1 Ag 0.500 0.500 0.500 1
Sb1 Sb 0.000 0.500 0.000 1
I1 I 0.000 0.000 0.500 1
```

Calculated values
- energy (eV/atom) = -2.9143
- energy relative to the lowest polymorph listed for this composition (eV/atom) = 0.000
- DOS at the Fermi energy (states/eV per atom) = 0.954
- formation energy without anion corrections (eV/f.u.) = 3.5

---

4.
Compound: AgSnSb2I
Source: the Alexandria database
Functional: PBE
Structure: relaxed

CIF file:
```
data_AgSnSb2I
_chemical_formula_sum 'Ag1 Sn1 Sb2 I1'
_symmetry_space_group_name_H-M 'P 4/m m m'
_symmetry_Int_Tables_number 123
_symmetry_space_group_name_Hall '-P 4 2'
_cell_length_a 5.366
_cell_length_b 5.366
_cell_length_c 5.726
_cell_angle_alpha 90.00
_cell_angle_beta 90.00
_cell_angle_gamma 90.00
loop_
_atom_site_label
_atom_site_type_symbol
_atom_site_fract_x
_atom_site_fract_y
_atom_site_fract_z
_atom_site_occupancy
Ag1 Ag 0.000 0.000 0.000 1
Sn1 Sn 0.500 0.500 0.500 1
Sb1 Sb 0.000 0.500 0.000 1
I1 I 0.000 0.000 0.500 1
```

Calculated values
- energy (eV/atom) = -2.7928
- energy relative to the lowest polymorph listed for this composition (eV/atom) = 0.000
- DOS at the Fermi energy (states/eV per atom) = 1.039
- formation energy without anion corrections (eV/f.u.) = 2.7

---

5.
Compound: AgSbTeI2
Source: the Alexandria database
Functional: PBE
Structure: relaxed

CIF file:
```
data_AgSbTeI2
_chemical_formula_sum 'Ag1 Sb1 Te1 I2'
_symmetry_space_group_name_H-M 'P 4/m m m'
_symmetry_Int_Tables_number 123
_symmetry_space_group_name_Hall '-P 4 2'
_cell_length_a 5.479
_cell_length_b 5.479
_cell_length_c 5.685
_cell_angle_alpha 90.00
_cell_angle_beta 90.00
_cell_angle_gamma 90.00
loop_
_atom_site_label
_atom_site_type_symbol
_atom_site_fract_x
_atom_site_fract_y
_atom_site_fract_z
_atom_site_occupancy
Ag1 Ag 0.000 0.000 0.000 1
Sb1 Sb 0.000 0.000 0.500 1
Te1 Te 0.500 0.500 0.500 1
I1 I 0.000 0.500 0.000 1
```

Calculated values
- energy (eV/atom) = -2.1635
- energy relative to the lowest polymorph listed for this composition (eV/atom) = 0.144
- DOS at the Fermi energy (states/eV per atom) = 1.103
- formation energy without anion corrections (eV/f.u.) = 2.4

---

6.
Compound: AgSbTeI2
Source: the Alexandria database
Functional: PBE
Structure: relaxed

CIF file:
```
data_AgSbTeI2
_chemical_formula_sum 'Ag1 Sb1 Te1 I2'
_symmetry_space_group_name_H-M 'P 4/m m m'
_symmetry_Int_Tables_number 123
_symmetry_space_group_name_Hall '-P 4 2'
_cell_length_a 5.504
_cell_length_b 5.504
_cell_length_c 5.625
_cell_angle_alpha 90.00
_cell_angle_beta 90.00
_cell_angle_gamma 90.00
loop_
_atom_site_label
_atom_site_type_symbol
_atom_site_fract_x
_atom_site_fract_y
_atom_site_fract_z
_atom_site_occupancy
Ag1 Ag 0.000 0.000 0.000 1
Sb1 Sb 0.500 0.500 0.500 1
Te1 Te 0.000 0.000 0.500 1
I1 I 0.000 0.500 0.000 1
```

Calculated values
- energy (eV/atom) = -2.2151
- energy relative to the lowest polymorph listed for this composition (eV/atom) = 0.092
- DOS at the Fermi energy (states/eV per atom) = 0.848
- formation energy without anion corrections (eV/f.u.) = 2.1